{"formula": "ZnMo2O4", "functional": "PBE with a Hubbard U", "state": "relaxed", "e_above_lowest_polymorph_mev_per_atom": 54, "total_magnetization_mub_per_atom": 0.71, "spacegroup": "P-1", "cell": [[-3.1563, 0.0207, 0.8747], [-1.6558, -7.4805, 0.1304], [0.6133, -1.5907, 7.7406]], "species": ["Zn", "Zn", "Mo", "Mo", "Mo", "Mo", "O", "O", "O", "O", "O", "O", "O", "O"], "frac_coords": [[0.1120, 0.9189, 0.8770], [0.9031, 0.1031, 0.0900], [0.3640, 0.8274, 0.4480], [0.8410, 0.5026, 0.7934], [0.1721, 0.5193, 0.1735], [0.6492, 0.1944, 0.5189], [0.1389, 0.3377, 0.3862], [0.5463, 0.6593, 0.2473], [0.4670, 0.3626, 0.7196], [0.8744, 0.6841, 0.5807], [0.8267, 0.0021, 0.3390], [0.2246, 0.6438, 0.9028], [0.1866, 0.0198, 0.6279], [0.7885, 0.3781, 0.0641]]}